# CeTaSi2Tc (PBE-GGA, optimized geometry)
# VASP energy: -84.06 eV for the cell shown
# Total moment: 0.075 μB per atom
# E_form (uncorrected): -0.61 eV/atom
data_CeTaSi2Tc
_chemical_formula_sum 'Ce2 Ta2 Si4 Tc2'
_space_group_name_H-M_alt 'I -4 m 2'
_space_group_IT_number 119
_space_group_name_Hall 'I -4 -2'
_cell_length_a 4.021
_cell_length_b 4.021
_cell_length_c 11.279
_cell_angle_alpha 90.00
_cell_angle_beta 90.00
_cell_angle_gamma 90.00
loop_
_atom_site_label
_atom_site_type_symbol
_atom_site_fract_x
_atom_site_fract_y
_atom_site_fract_z
Ce1 Ce 0.000 0.000 0.000
Ta1 Ta 0.000 0.500 0.750
Si1 Si 0.000 0.000 0.393
Tc1 Tc 0.000 0.500 0.250